This record from Alexandria describes an optimized crystal structure of Ba2Tl2Pd3. The functional is PBE.

Computed properties:
symmetry: No. 199
VASP energy: -3.8435 eV per atom
energy of formation from the pure elements: -0.3926 eV/atom
magnetic moment: 0.0 μB/cell
energy above the most stable polymorph in this dataset: 0.0120 eV/atom
DOS at the Fermi energy: 6.2 states/eV per cell

Cell: 8.1221 8.1221 8.1221 Å, 109.47 109.47 109.47°
Element x y z (fractional)
Ba 0.0000 0.0000 0.5095
Ba 0.5000 0.5095 0.5000
Ba 0.4905 0.9905 0.9905
Ba 0.0095 0.5000 0.0000
Tl 0.0000 0.0000 0.9300
Tl 0.5000 0.9300 0.5000
Tl 0.0700 0.5700 0.5700
Tl 0.4300 0.5000 0.0000
Pd 0.7908 0.7500 0.0408
Pd 0.7092 0.2500 0.4592
Pd 0.9592 0.2092 0.2500
Pd 0.5408 0.2908 0.7500
Pd 0.2500 0.0408 0.2908
Pd 0.7500 0.4592 0.2092